Entry from the Alexandria database: a relaxed structure of LaSm2Rh2 (PBE).

Properties
Offset from the most stable computed form ... 0.0 kJ per mole of atoms
Spin magnetization ... 0.0000 μB/atom
Energy of formation from the pure elements ... -62 kJ per mole of atoms
Volume ... 269.9 Å³/cell

a b c (Å): 4.383 5.786 10.774
angles (deg): 81.07 90.00 90.00
Positions (direct):
La 0.250 0.549 0.211
La 0.750 0.451 0.789
Sm 0.250 0.888 0.885
Sm 0.750 0.112 0.115
Sm 0.250 0.229 0.534
Sm 0.750 0.771 0.466
Rh 0.250 0.691 0.637
Rh 0.750 0.309 0.363
Rh 0.250 0.339 0.966
Rh 0.750 0.661 0.034